{
  "formula": "Pr2UCuS5",
  "functional": "PBE",
  "state": "relaxed",
  "lattice": [[-3.657, 0.626, -1.193], [-0.939, -5.676, 6.262], [-1.074, 9.038, 8.031]],
  "species": ["Pr", "Pr", "Pr", "Pr", "U", "U", "Cu", "Cu", "S", "S", "S", "S", "S", "S", "S", "S", "S", "S"],
  "fractional_positions": [[0.882, 0.764, 0.845], [0.115, 0.230, 0.693], [0.118, 0.236, 0.345], [0.885, 0.770, 0.193], [0.819, 0.638, 0.527], [0.181, 0.362, 0.027], [0.549, 0.099, 0.921], [0.451, 0.901, 0.421], [0.345, 0.691, 0.020], [0.686, 0.372, 0.865], [0.493, 0.985, 0.751], [0.301, 0.602, 0.686], [0.981, 0.961, 0.514], [0.655, 0.309, 0.520], [0.314, 0.628, 0.365], [0.507, 0.015, 0.251], [0.699, 0.398, 0.186], [0.019, 0.039, 0.014]],
  "formation_energy_uncorrected_ev_per_atom": -1.56,
  "n_ef_per_ev_fu": 7.1,
  "final_energy_ev_per_fu": -59.60,
  "sg": "Cmc2_1"
}